No. 1
Compound: Zr6TlZn
Source: Alexandria via LeMat-Bulk
Functional: PBE
Structure: optimized geometry

Geometry as CIF:
```
data_Zr6TlZn
_chemical_formula_sum 'Zr6 Tl1 Zn1'
_space_group_name_H-M_alt 'P 1'
_space_group_IT_number 1
_cell_length_a 4.4288
_cell_length_b 4.4288
_cell_length_c 8.8352
_cell_angle_alpha 90.00
_cell_angle_beta 90.00
_cell_angle_gamma 90.00
loop_
_space_group_symop_operation_xyz
'x,y,z'
loop_
_atom_site_label
_atom_site_fract_x
_atom_site_fract_y
_atom_site_fract_z
Zr1 0.5000 0.5000 0.0000
Zr2 0.0000 0.5000 0.2589
Zr3 0.5000 0.5000 0.5000
Zr4 0.0000 0.5000 0.7411
Zn1 0.0000 0.0000 0.5000
Zr5 0.5000 0.0000 0.7411
Tl1 0.0000 0.0000 0.0000
Zr6 0.5000 0.0000 0.2589
```

Summary:
The energy relative to the lowest polymorph listed for this composition is 0 meV per atom. The value obtained for the volume is 173.3 Å³ per cell. As for the total energy: -6.989 eV per atom. As for the energy of formation from the pure elements: -0.123 eV per atom. Its density of states at the Fermi level is 7.02 states/eV per cell. The mass density comes out at 7.830 g/cm³.


No. 2
Compound: Dy4Ni3Sb8
Source: Alexandria via LeMat-Bulk
Functional: PBE
Structure: optimized geometry

Geometry as CIF:
```
data_Dy4Ni3Sb8
_chemical_formula_sum 'Dy4 Ni3 Sb8'
_space_group_name_H-M_alt 'P 1'
_space_group_IT_number 1
_cell_length_a 4.3604
_cell_length_b 4.3604
_cell_length_c 18.6212
_cell_angle_alpha 90.00
_cell_angle_beta 90.00
_cell_angle_gamma 90.00
loop_
_space_group_symop_operation_xyz
'x,y,z'
loop_
_atom_site_label
_atom_site_fract_x
_atom_site_fract_y
_atom_site_fract_z
Sb1 0.0000 0.5000 0.9339
Sb2 0.5000 0.0000 0.0661
Sb3 0.0000 0.0000 0.7518
Dy1 0.5000 0.0000 0.8841
Dy2 0.5000 0.0000 0.3795
Sb4 0.5000 0.5000 0.7515
Sb5 0.5000 0.0000 0.5720
Ni1 0.5000 0.5000 0.5000
Dy3 0.0000 0.5000 0.6205
Sb6 0.5000 0.5000 0.2485
Sb7 0.0000 0.5000 0.4280
Ni2 0.0000 0.0000 0.0000
Sb8 0.0000 0.0000 0.2482
Dy4 0.0000 0.5000 0.1159
Ni3 0.0000 0.0000 0.5000
```

Summary:
The value obtained for the volume is 354.0 Å³ per cell. As for the total energy: -5.290 eV per atom. For the uncorrected formation energy, the calculation gives -708.3 meV per atom. Its density of states at the Fermi level is 9.90 states/eV per cell. The mass density comes out at 8.443 g/cm³.


No. 3
Compound: Na2SrMg2
Source: Alexandria via LeMat-Bulk
Functional: PBE
Structure: optimized geometry

Geometry as CIF:
```
data_Na2SrMg2
_chemical_formula_sum 'Na4 Sr2 Mg4'
_space_group_name_H-M_alt 'P 1'
_space_group_IT_number 1
_cell_length_a 9.3399
_cell_length_b 9.3399
_cell_length_c 3.7856
_cell_angle_alpha 90.00
_cell_angle_beta 90.00
_cell_angle_gamma 90.00
loop_
_space_group_symop_operation_xyz
'x,y,z'
loop_
_atom_site_label
_atom_site_fract_x
_atom_site_fract_y
_atom_site_fract_z
Sr1 0.0000 0.0000 0.0000
Mg1 0.6785 0.8215 0.5000
Na1 0.8793 0.6207 0.0000
Na2 0.3793 0.8793 0.0000
Na3 0.1207 0.3793 0.0000
Mg2 0.1785 0.6785 0.5000
Mg3 0.8215 0.3215 0.5000
Sr2 0.5000 0.5000 0.0000
Na4 0.6207 0.1207 0.0000
Mg4 0.3215 0.1785 0.5000
```

Summary:
The energy relative to the lowest polymorph listed for this composition is 8 meV per atom. The value obtained for the volume is 330.2 Å³ per cell. As for the total energy: -1.403 eV per atom. As for the energy of formation from the pure elements: 0.099 eV per atom. Its density of states at the Fermi level is 4.42 states/eV per cell. The mass density comes out at 1.832 g/cm³.


No. 4
Compound: Li3BiSe
Source: Alexandria via LeMat-Bulk
Functional: PBE
Structure: optimized geometry

Geometry as CIF:
```
data_Li3BiSe
_chemical_formula_sum 'Li3 Bi1 Se1'
_space_group_name_H-M_alt 'P 1'
_space_group_IT_number 1
_cell_length_a 4.8403
_cell_length_b 4.8403
_cell_length_c 4.8403
_cell_angle_alpha 90.00
_cell_angle_beta 90.00
_cell_angle_gamma 90.00
loop_
_space_group_symop_operation_xyz
'x,y,z'
loop_
_atom_site_label
_atom_site_fract_x
_atom_site_fract_y
_atom_site_fract_z
Se1 0.0000 0.0000 0.0000
Li1 0.0000 0.0000 0.5000
Bi1 0.5000 0.5000 0.5000
Li2 0.5000 0.0000 0.0000
Li3 0.0000 0.5000 0.0000
```

Summary:
The energy relative to the lowest polymorph listed for this composition is 0 meV per atom. The value obtained for the volume is 113.4 Å³ per cell. As for the total energy: -3.192 eV per atom. For the uncorrected formation energy, the calculation gives -570.5 meV per atom. Its density of states at the Fermi level is 3.69 states/eV per cell. The mass density comes out at 4.521 g/cm³.